InHg3Te4Mo | OQMD via LeMat-Bulk | PBE-GGA | relaxed; DFT total energy = -2.773 eV per atom; M_tot = 0.33 μB per atom
1.0
7.116 0.000 0.000
0.000 7.116 0.000
0.000 0.000 7.116
Te Mo Hg In
4 1 3 1
direct
0.278 0.278 0.278
0.722 0.722 0.278
0.278 0.722 0.722
0.722 0.278 0.722
0.500 0.500 0.500
0.500 0.500 0.000
0.000 0.500 0.500
0.500 0.000 0.500
0.000 0.000 0.000